UTlTe2Pd (PBE-GGA, optimized geometry); E_form (uncorrected) = -0.36 eV per atom
1.0
4.7020 0.0000 0.0000
0.0000 9.1764 0.7840
0.0000 -1.8943 7.2682
Te U Pd Tl
4 2 2 2
direct
0.7244 0.7469 0.9479 Te
0.2756 0.7469 0.4479 Te
0.7244 0.2531 0.5521 Te
0.2756 0.2531 0.0521 Te
0.4998 0.0000 0.2500 U
0.5002 0.0000 0.7500 U
0.0000 0.0000 0.0000 Pd
0.0000 0.0000 0.5000 Pd
0.7846 0.5000 0.2500 Tl
0.2154 0.5000 0.7500 Tl

---

Ce3Be5O12 (PBE-GGA, optimized geometry); E_form (uncorrected) = -2.58 eV per atom
1.0
10.1425 0.0000 0.0000
-3.3808 9.5624 0.0000
-3.3808 -4.7812 8.2813
O Be Ce
48 20 12
direct
0.6990 0.1176 0.0146 O
0.3010 0.8824 0.9854 O
0.5815 0.6990 0.6844 O
0.9854 0.6029 0.1844 O
0.0815 0.8971 0.3824 O
0.8824 0.3010 0.4854 O
0.6990 0.5815 0.1844 O
0.1990 0.6844 0.0815 O
0.4185 0.3010 0.3156 O
0.6176 0.6029 0.9185 O
0.8971 0.0815 0.8824 O
0.8971 0.8156 0.5146 O
0.4854 0.6844 0.1029 O
0.9185 0.1029 0.6176 O
0.3010 0.4185 0.8156 O
0.3156 0.8010 0.4185 O
0.3971 0.3824 0.5815 O
0.4854 0.8010 0.8824 O
0.1844 0.0815 0.6990 O
0.3156 0.5146 0.3971 O
0.1176 0.6990 0.5146 O
0.9185 0.8156 0.8010 O
0.9854 0.3824 0.3010 O
0.6844 0.1990 0.5815 O
0.0815 0.1844 0.1990 O
0.4185 0.1176 0.6029 O
0.5146 0.3156 0.8971 O
0.1990 0.5146 0.6176 O
0.1029 0.9185 0.1176 O
0.3971 0.0146 0.3156 O
0.8010 0.3156 0.9185 O
0.1176 0.4185 0.1029 O
0.8824 0.5815 0.8971 O
0.8156 0.9185 0.3010 O
0.1844 0.1029 0.9854 O
0.6029 0.6176 0.4185 O
0.5815 0.8824 0.3971 O
0.3824 0.9854 0.8010 O
0.0146 0.6176 0.6990 O
0.1029 0.1844 0.4854 O
0.3824 0.3971 0.0815 O
0.8156 0.8971 0.0146 O
0.6844 0.4854 0.6029 O
0.6029 0.9854 0.6844 O
0.6176 0.0146 0.1990 O
0.0146 0.3971 0.8156 O
0.5146 0.1990 0.1176 O
0.8010 0.4854 0.3824 O
0.2500 0.8750 0.1250 Be
0.7500 0.1250 0.8750 Be
0.0000 0.0000 0.5000 Be
0.5000 0.5000 0.5000 Be
0.1250 0.7500 0.3750 Be
0.7500 0.6250 0.3750 Be
0.5000 0.0000 0.5000 Be
0.6250 0.7500 0.8750 Be
0.3750 0.2500 0.1250 Be
0.8750 0.6250 0.7500 Be
0.0000 0.5000 0.5000 Be
0.5000 0.0000 0.0000 Be
0.1250 0.3750 0.2500 Be
0.0000 0.5000 0.0000 Be
0.8750 0.2500 0.6250 Be
0.0000 0.0000 0.0000 Be
0.6250 0.8750 0.2500 Be
0.2500 0.3750 0.6250 Be
0.3750 0.1250 0.7500 Be
0.5000 0.5000 0.0000 Be
0.2500 0.6250 0.8750 Ce
0.2500 0.1250 0.3750 Ce
0.3750 0.7500 0.6250 Ce
0.1250 0.2500 0.8750 Ce
0.7500 0.3750 0.1250 Ce
0.8750 0.7500 0.1250 Ce
0.7500 0.8750 0.6250 Ce
0.1250 0.8750 0.7500 Ce
0.3750 0.6250 0.2500 Ce
0.6250 0.2500 0.3750 Ce
0.6250 0.3750 0.7500 Ce
0.8750 0.1250 0.2500 Ce

---

CuRh2S (PBE-GGA, optimized geometry); E_form (uncorrected) = 0.05 eV per atom
1.0
2.9158 0.0020 -0.0001
1.4597 2.5241 -0.0001
1.4582 0.8419 7.5729
Cu Rh S
1 2 1
direct
0.4996 0.4996 0.4997 Cu
0.0760 0.0760 0.7716 Rh
0.2581 0.2581 0.2276 Rh
0.6664 0.6664 0.0011 S

---

Tm5Ir2 (PBE-GGA, optimized geometry); formation energy from the elements = -0.71 eV/atom
1.0
-1.8148 4.6578 4.0383
-5.8029 -3.7818 1.7542
5.6024 -5.2041 3.4069
Tm Ir
10 4
direct
0.2108 0.4195 0.1833 Tm
0.7886 0.3164 0.4408 Tm
0.0275 0.0805 0.8167 Tm
0.2114 0.6836 0.5592 Tm
0.3479 0.1836 0.5592 Tm
0.6521 0.8164 0.4408 Tm
0.4293 0.7500 0.0000 Tm
0.7892 0.5805 0.8167 Tm
0.5707 0.2500 0.0000 Tm
0.9725 0.9195 0.1833 Tm
0.1737 0.4267 0.7809 Ir
0.8263 0.5733 0.2191 Ir
0.6072 0.9267 0.7809 Ir
0.3928 0.0733 0.2191 Ir

---

LaCe2Pb (PBE-GGA, optimized geometry); energy relative to the lowest polymorph listed for this composition = 0.291 eV per atom; formation energy from the elements = -0.02 eV/atom
1.0
3.5433 0.0000 0.0000
1.7716 3.0686 0.0000
1.7716 1.0229 11.4817
La Ce Pb
1 2 1
direct
0.5008 0.5008 0.4975 La
0.0798 0.0798 0.7607 Ce
0.2532 0.2532 0.2403 Ce
0.6662 0.6662 0.0015 Pb

---

PrDyEr2Sb4 (PBE-GGA, optimized geometry); E_form (uncorrected) = -1.12 eV per atom
1.0
4.4178 0.0000 0.0000
0.0000 7.6396 -0.1483
0.0000 2.6908 7.1554
Pr Sb Dy Er
1 4 1 2
direct
0.5000 0.5000 0.0000 Pr
0.0000 0.2405 0.2581 Sb
0.5000 0.7559 0.2529 Sb
0.5000 0.2441 0.7471 Sb
0.0000 0.7595 0.7419 Sb
0.0000 0.5000 0.5000 Dy
0.0000 0.0000 0.0000 Er
0.5000 0.0000 0.5000 Er

---

no.,total magnetic moment (μB per cell)
1,5.77
2,0.00
3,0.00
4,0.00
5,1.96
6,0.00